First-principles (GGA-PBE) data for an optimized crystal structure of ZnRhAu2, as listed in the Alexandria database.

abc: 10.036 10.036 10.036
angles: 158.08 158.08 31.19
Atoms (fractional coordinates):
Zn1 0.000 0.000 0.000
Zn2 0.750 0.250 0.500
Rh1 0.250 0.750 0.500
Rh2 0.500 0.500 0.000
Au1 0.124 0.625 0.999
Au2 0.375 0.374 0.499
Au3 0.626 0.125 0.001
Au4 0.875 0.876 0.501

Results
Volume in Å³ per atom: 17.6
Formation enthalpy at 0 K in eV/f.u.: 0.6



First-principles (GGA-PBE) data for an optimized crystal structure of CaPAu, as listed in the Alexandria database.

abc: 4.692 4.692 6.347
angles: 90.00 90.00 105.05
Atoms (fractional coordinates):
Ca1 0.147 0.853 0.750
Ca2 0.853 0.147 0.250
P1 0.255 0.745 0.250
P2 0.745 0.255 0.750
Au1 0.500 0.500 0.000
Au2 0.500 0.500 0.500

Results
Volume in Å³ per atom: 22.5
Formation enthalpy at 0 K in eV/f.u.: -2.3



First-principles (GGA-PBE) data for an optimized crystal structure of CuSbTe2N, as listed in the Alexandria database.

abc: 5.222 5.222 5.032
angles: 90.00 90.00 90.00
Atoms (fractional coordinates):
Cu1 0.000 0.000 0.000
Sb1 0.000 0.000 0.500
Te1 0.000 0.500 0.000
Te2 0.500 0.000 0.000
N1 0.500 0.500 0.500

Results
Volume in Å³ per atom: 27.4
Relative energy among the computed polymorphs in eV per atom: 0.810



First-principles (GGA-PBE) data for an optimized crystal structure of KCuH6Ir, as listed in the Alexandria database.

abc: 4.085 4.865 5.704
angles: 84.15 89.06 65.37
Atoms (fractional coordinates):
K1 0.000 0.000 0.000
Cu1 0.311 0.404 0.506
H1 0.003 0.838 0.476
H2 0.429 0.112 0.297
H3 0.484 0.066 0.712
H4 0.486 0.583 0.700
H5 0.681 0.563 0.306
H6 0.914 0.540 0.684
Ir1 0.597 0.808 0.509

Results
Volume in Å³ per atom: 11.4
E_tot in eV per atom: -3.90



First-principles (GGA-PBE) data for an optimized crystal structure of Li3OsO4, as listed in the Alexandria database.

abc: 5.179 5.987 5.166
angles: 90.00 109.83 90.00
Atoms (fractional coordinates):
Li1 0.000 0.098 0.250
Li2 0.000 0.364 0.750
Li3 0.000 0.636 0.250
Li4 0.000 0.902 0.750
Li5 0.500 0.117 0.750
Li6 0.500 0.883 0.250
Os1 0.500 0.358 0.250
Os2 0.500 0.642 0.750
O1 0.258 0.139 0.019
O2 0.258 0.861 0.519
O3 0.274 0.388 0.497
O4 0.274 0.612 0.997
O5 0.726 0.388 0.003
O6 0.726 0.612 0.503
O7 0.742 0.139 0.481
O8 0.742 0.861 0.981

Results
Volume in Å³ per atom: 9.4
Relative energy among the computed polymorphs in eV per atom: 0.000



First-principles (GGA-PBE) data for an optimized crystal structure of UBi5, as listed in the Alexandria database.

abc: 8.733 8.733 4.820
angles: 90.00 90.00 149.61
Atoms (fractional coordinates):
U1 0.000 0.000 0.000
Bi1 0.155 0.845 0.500
Bi2 0.348 0.652 0.000
Bi3 0.500 0.500 0.500
Bi4 0.652 0.348 0.000
Bi5 0.845 0.155 0.500

Results
Volume in Å³ per atom: 31.0
Formation enthalpy at 0 K in eV/f.u.: 0.2